Computed, not measured: PrYGa3 after structural relaxation at the GGA-PBE level of DFT.

Properties
* DOS(E_F): 6.43 states/eV per cell
* calculated formation energy: -15.69 kcal/mol of atoms
* energy: -0.349 Ry/atom

Lattice parameters (Å, degrees): 13.0909 13.0909 4.2258 90.00 90.00 160.97
Positions (direct):
Pr 0.0736 0.9264 0.7500
Pr 0.9264 0.0736 0.2500
Y 0.2036 0.7964 0.2500
Y 0.7964 0.2036 0.7500
Ga 0.3226 0.6774 0.2500
Ga 0.3792 0.6208 0.7500
Ga 0.4758 0.5242 0.7500
Ga 0.5242 0.4758 0.2500
Ga 0.6208 0.3792 0.2500
Ga 0.6774 0.3226 0.7500